Arrangement 1

DFT (PBE-GGA) results for an optimized crystal structure of AlInPO2.

Total magnetic moment ... 0.00 μB/cell

Unit cell a=3.6785 b=3.6785 c=5.3536 alpha=90.00 beta=90.00 gamma=90.00
Space group P4/mmm (No. 123)
Inequivalent atoms, fractional coordinates:
Al 0.0000 0.0000 0.0000 x1
In 0.5000 0.5000 0.5000 x1
P 0.0000 0.0000 0.5000 x1
O 0.0000 0.5000 0.0000 x2

=====

Arrangement 2

DFT (PBE-GGA) results for an optimized crystal structure of AlInPO2.

Total magnetic moment ... 1.28 μB/cell

Unit cell a=4.0056 b=4.0056 c=5.5764 alpha=90.00 beta=90.00 gamma=90.00
Space group P4/mmm (No. 123)
Inequivalent atoms, fractional coordinates:
Al 0.0000 0.0000 0.0000 x1
In 0.5000 0.5000 0.5000 x1
P 0.5000 0.5000 0.0000 x1
O 0.0000 0.5000 0.5000 x2

=====

The relative energies come out as arrangement 1 0; arrangement 2 954, with values in meV/atom.

=====

Arrangement 1

DFT (PBE-GGA) results for an optimized crystal structure of AlInOs3.

Total magnetic moment ... 2.24 μB/cell

Unit cell a=4.7973 b=4.7973 c=4.7973 alpha=90.00 beta=90.00 gamma=90.00
Space group Pm-3m (No. 221)
Inequivalent atoms, fractional coordinates:
Al 0.0000 0.0000 0.0000 x1
In 0.5000 0.5000 0.5000 x1
Os 0.0000 0.5000 0.5000 x3

=====

Arrangement 2

DFT (PBE-GGA) results for an optimized crystal structure of AlInOs3.

Total magnetic moment ... 1.57 μB/cell

Unit cell a=4.4741 b=4.4741 c=4.4741 alpha=90.00 beta=90.00 gamma=90.00
Space group Pm-3m (No. 221)
Inequivalent atoms, fractional coordinates:
Al 0.0000 0.0000 0.0000 x1
In 0.5000 0.5000 0.5000 x1
Os 0.0000 0.0000 0.5000 x3

=====

The relative energies come out as arrangement 1 1332; arrangement 2 0, with values in meV/atom.